A plane-wave DFT calculation with PBE was carried out for a relaxed BeRuAu2 crystal.

Values from the calculation:
Space-group type ... I-4m2
DOS at the Fermi energy ... 4.6 states/eV/f.u.
Final energy ... -18.2 eV for the cell shown

The structure in POSCAR format:
```
BeRuAu2
1.0
-2.0083 2.0083 3.7420
2.0083 -2.0083 3.7420
2.0083 2.0083 -3.7420
Be Ru Au
1 1 2
direct
0.0000 0.0000 0.0000
0.2500 0.7500 0.5000
0.5000 0.5000 0.0000
0.7500 0.2500 0.5000
```

***

A plane-wave DFT calculation with PBE was carried out for a relaxed Be2RuAu crystal.

Values from the calculation:
Space-group type ... Pm
DOS at the Fermi energy ... 1.4 states/eV/f.u.
Final energy ... -20.9 eV for the cell shown

The structure in POSCAR format:
```
Be2RuAu
1.0
3.0747 0.0000 0.0000
0.0000 3.5910 0.0000
-1.5177 0.0000 4.2447
Be Ru Au
2 1 1
direct
0.0000 0.0000 0.0000
0.1569 0.5000 0.3160
0.7081 0.0000 0.4229
0.4337 0.5000 0.8627
```

***

A plane-wave DFT calculation with PBE was carried out for a relaxed BeRuAu3 crystal.

Values from the calculation:
Space-group type ... Pm-3m
DOS at the Fermi energy ... 2.4 states/eV/f.u.
Final energy ... -20.0 eV for the cell shown

The structure in POSCAR format:
```
BeRuAu3
1.0
4.3664 0.0000 0.0000
0.0000 4.3664 0.0000
0.0000 0.0000 4.3664
Be Ru Au
1 1 3
direct
0.0000 0.0000 0.0000
0.5000 0.5000 0.5000
0.0000 0.0000 0.5000
0.0000 0.5000 0.0000
0.5000 0.0000 0.0000
```

***

A plane-wave DFT calculation with PBE was carried out for a relaxed BeRuAu2 crystal.

Values from the calculation:
Space-group type ... R-3m
DOS at the Fermi energy ... 2.8 states/eV/f.u.
Final energy ... -18.6 eV for the cell shown

The structure in POSCAR format:
```
BeRuAu2
1.0
1.4169 0.8181 8.4938
-1.4169 0.8181 8.4938
0.0000 -1.6361 8.4938
Be Ru Au
1 1 2
direct
0.0000 0.0000 0.0000
0.5000 0.5000 0.5000
0.2601 0.2601 0.2601
0.7399 0.7399 0.7399
```

***

A plane-wave DFT calculation with PBE was carried out for a relaxed BeRuAu2 crystal.

Values from the calculation:
Space-group type ... P4mm
DOS at the Fermi energy ... 3.8 states/eV/f.u.
Final energy ... -19.4 eV for the cell shown

The structure in POSCAR format:
```
BeRuAu2
1.0
2.8471 0.0000 0.0000
0.0000 2.8471 0.0000
0.0000 0.0000 7.1522
Be Ru Au
1 1 2
direct
0.0000 0.0000 0.0000
0.5000 0.5000 0.1772
0.0000 0.0000 0.4612
0.5000 0.5000 0.7773
```

***

A plane-wave DFT calculation with PBE was carried out for a relaxed Be2TcRuAu crystal.

Values from the calculation:
Space-group type ... P4/mmm
DOS at the Fermi energy ... 2.1 states/eV/f.u.
Final energy ... -26.0 eV for the cell shown

The structure in POSCAR format:
```
Be2TcRuAu
1.0
4.1884 0.0000 0.0000
0.0000 4.1884 0.0000
0.0000 0.0000 4.6408
Be Tc Ru Au
2 1 1 1
direct
0.0000 0.5000 0.0000
0.5000 0.0000 0.0000
0.0000 0.0000 0.5000
0.0000 0.0000 0.0000
0.5000 0.5000 0.5000
```

***

A plane-wave DFT calculation with PBE was carried out for a relaxed Y2BeRuAu crystal.

Values from the calculation:
Space-group type ... P4/mmm
DOS at the Fermi energy ... 4.5 states/eV/f.u.
Final energy ... -29.7 eV for the cell shown

The structure in POSCAR format:
```
Y2BeRuAu
1.0
5.1785 0.0000 0.0000
0.0000 5.1785 0.0000
0.0000 0.0000 3.9837
Y Be Ru Au
2 1 1 1
direct
0.0000 0.5000 0.0000
0.5000 0.0000 0.0000
0.0000 0.0000 0.0000
0.0000 0.0000 0.5000
0.5000 0.5000 0.5000
```

***

A plane-wave DFT calculation with PBE was carried out for a relaxed BeZnRuAu crystal.

Values from the calculation:
Space-group type ... F-43m
DOS at the Fermi energy ... 1.3 states/eV/f.u.
Final energy ... -17.9 eV for the cell shown

The structure in POSCAR format:
```
BeZnRuAu
1.0
0.0000 2.9848 2.9848
2.9848 0.0000 2.9848
2.9848 2.9848 0.0000
Be Zn Ru Au
1 1 1 1
direct
0.0000 0.0000 0.0000
0.5000 0.5000 0.5000
0.7500 0.7500 0.7500
0.2500 0.2500 0.2500
```

***

A plane-wave DFT calculation with PBE was carried out for a relaxed Be3AuS crystal.

Values from the calculation:
Space-group type ... Pm-3m
DOS at the Fermi energy ... 1.5 states/eV/f.u.
Formation energy (no corrections) ... 0.50 eV per atom
Final energy ... -16.1 eV for the cell shown

The structure in POSCAR format:
```
Be3AuS
1.0
4.0622 0.0000 0.0000
0.0000 4.0622 0.0000
0.0000 0.0000 4.0622
Be Au S
3 1 1
direct
0.0000 0.0000 0.5000
0.0000 0.5000 0.0000
0.5000 0.0000 0.0000
0.5000 0.5000 0.5000
0.0000 0.0000 0.0000
```

***

A plane-wave DFT calculation with PBE was carried out for a relaxed BeAuS2 crystal.

Values from the calculation:
Space-group type ... I-42d
DOS at the Fermi energy ... 2.5 states/eV/f.u.
Formation energy (no corrections) ... -0.34 eV per atom
Final energy ... -33.2 eV for the cell shown

The structure in POSCAR format:
```
BeAuS2
1.0
-2.7092 2.7092 4.9306
2.7092 -2.7092 4.9306
2.7092 2.7092 -4.9306
Be Au S
2 2 4
direct
0.0000 0.0000 0.0000
0.7500 0.2500 0.5000
0.2500 0.7500 0.5000
0.5000 0.5000 0.0000
0.0679 0.6250 0.9429
0.3750 0.3179 0.4429
0.6821 0.1250 0.0571
0.8750 0.9321 0.5571
```

***

A plane-wave DFT calculation with PBE was carried out for a relaxed BeAu2S crystal.

Values from the calculation:
Space-group type ... I-42d
DOS at the Fermi energy ... 2.2 states/eV/f.u.
Formation energy (no corrections) ... 0.24 eV per atom
Final energy ... -26.9 eV for the cell shown

The structure in POSCAR format:
```
BeAu2S
1.0
-2.1255 2.1255 7.8243
2.1255 -2.1255 7.8243
2.1255 2.1255 -7.8243
Be Au S
2 4 2
direct
0.0000 0.0000 0.0000
0.7500 0.2500 0.5000
0.0970 0.6250 0.9720
0.3750 0.3471 0.4720
0.6530 0.1250 0.0280
0.8750 0.9030 0.5280
0.2500 0.7500 0.5000
0.5000 0.5000 0.0000
```

***

A plane-wave DFT calculation with PBE was carried out for a relaxed BeAu2S crystal.

Values from the calculation:
Space-group type ... Fm-3m
DOS at the Fermi energy ... 0.2 states/eV/f.u.
Formation energy (no corrections) ... 0.39 eV per atom
Final energy ... -12.8 eV for the cell shown

The structure in POSCAR format:
```
BeAu2S
1.0
0.0000 3.1618 3.1618
3.1618 0.0000 3.1618
3.1618 3.1618 0.0000
Be Au S
1 2 1
direct
0.0000 0.0000 0.0000
0.2500 0.2500 0.2500
0.7500 0.7500 0.7500
0.5000 0.5000 0.5000
```

***

A plane-wave DFT calculation with PBE was carried out for a relaxed BeAuS2 crystal.

Values from the calculation:
Space-group type ... R-3m
DOS at the Fermi energy ... 2.7 states/eV/f.u.
Formation energy (no corrections) ... -0.22 eV per atom
Final energy ... -16.1 eV for the cell shown

The structure in POSCAR format:
```
BeAuS2
1.0
1.6410 0.9474 7.0743
-1.6410 0.9474 7.0743
0.0000 -1.8949 7.0743
Be Au S
1 1 2
direct
0.0000 0.0000 0.0000
0.5000 0.5000 0.5000
0.3912 0.3912 0.3912
0.6088 0.6088 0.6088
```

***

A plane-wave DFT calculation with PBE was carried out for a relaxed BeAuS2 crystal.

Values from the calculation:
Space-group type ... R-3m
DOS at the Fermi energy ... 2.9 states/eV/f.u.
Formation energy (no corrections) ... 0.04 eV per atom
Final energy ... -15.1 eV for the cell shown

The structure in POSCAR format:
```
BeAuS2
1.0
2.0127 1.1620 6.2601
-2.0127 1.1620 6.2601
0.0000 -2.3240 6.2601
Be Au S
1 1 2
direct
0.0000 0.0000 0.0000
0.5000 0.5000 0.5000
0.1007 0.1007 0.1007
0.8993 0.8993 0.8993
```

***

A plane-wave DFT calculation with PBE was carried out for a relaxed Be2AuS crystal.

Values from the calculation:
Space-group type ... I-42d
DOS at the Fermi energy ... 3.1 states/eV/f.u.
Formation energy (no corrections) ... -0.21 eV per atom
Final energy ... -31.4 eV for the cell shown

The structure in POSCAR format:
```
Be2AuS
1.0
-2.6810 2.6810 4.4392
2.6810 -2.6810 4.4392
2.6810 2.6810 -4.4392
Be Au S
4 2 2
direct
0.0840 0.6250 0.9590
0.3750 0.3340 0.4590
0.6660 0.1250 0.0410
0.8750 0.9160 0.5410
0.2500 0.7500 0.5000
0.5000 0.5000 0.0000
0.0000 0.0000 0.0000
0.7500 0.2500 0.5000
```

***

A plane-wave DFT calculation with PBE was carried out for a relaxed Be3AuS crystal.

Values from the calculation:
Space-group type ... Pm-3m
DOS at the Fermi energy ... 3.0 states/eV/f.u.
Formation energy (no corrections) ... 0.69 eV per atom
Final energy ... -15.1 eV for the cell shown

The structure in POSCAR format:
```
Be3AuS
1.0
4.3779 0.0000 0.0000
0.0000 4.3779 0.0000
0.0000 0.0000 4.3779
Be Au S
3 1 1
direct
0.0000 0.0000 0.5000
0.0000 0.5000 0.0000
0.5000 0.0000 0.0000
0.0000 0.0000 0.0000
0.5000 0.5000 0.5000
```

***

A plane-wave DFT calculation with PBE was carried out for a relaxed BeAuS3 crystal.

Values from the calculation:
Space-group type ... Pm-3m
DOS at the Fermi energy ... 4.5 states/eV/f.u.
Formation energy (no corrections) ... 1.17 eV per atom
Final energy ... -13.5 eV for the cell shown

The structure in POSCAR format:
```
BeAuS3
1.0
4.7965 0.0000 0.0000
0.0000 4.7965 0.0000
0.0000 0.0000 4.7965
Be Au S
1 1 3
direct
0.0000 0.0000 0.0000
0.5000 0.5000 0.5000
0.0000 0.5000 0.5000
0.5000 0.0000 0.5000
0.5000 0.5000 0.0000
```

***

A plane-wave DFT calculation with PBE was carried out for a relaxed BeAu3S crystal.

Values from the calculation:
Space-group type ... Pm-3m
DOS at the Fermi energy ... 5.2 states/eV/f.u.
Formation energy (no corrections) ... 0.50 eV per atom
Final energy ... -15.2 eV for the cell shown

The structure in POSCAR format:
```
BeAu3S
1.0
4.4798 0.0000 0.0000
0.0000 4.4798 0.0000
0.0000 0.0000 4.4798
Be Au S
1 3 1
direct
0.0000 0.0000 0.0000
0.0000 0.0000 0.5000
0.0000 0.5000 0.0000
0.5000 0.0000 0.0000
0.5000 0.5000 0.5000
```

***

A plane-wave DFT calculation with PBE was carried out for a relaxed BeAuS3 crystal.

Values from the calculation:
Space-group type ... Pm-3m
DOS at the Fermi energy ... 5.2 states/eV/f.u.
Formation energy (no corrections) ... 0.56 eV per atom
Final energy ... -16.6 eV for the cell shown

The structure in POSCAR format:
```
BeAuS3
1.0
4.3396 0.0000 0.0000
0.0000 4.3396 0.0000
0.0000 0.0000 4.3396
Be Au S
1 1 3
direct
0.0000 0.0000 0.0000
0.5000 0.5000 0.5000
0.0000 0.0000 0.5000
0.0000 0.5000 0.0000
0.5000 0.0000 0.0000
```

***

A plane-wave DFT calculation with PBE was carried out for a relaxed Be2SnAuS crystal.

Values from the calculation:
Space-group type ... P4/mmm
DOS at the Fermi energy ... 2.1 states/eV/f.u.
Formation energy (no corrections) ... 0.97 eV per atom
Final energy ... -14.0 eV for the cell shown

The structure in POSCAR format:
```
Be2SnAuS
1.0
4.5210 0.0000 0.0000
0.0000 4.5210 0.0000
0.0000 0.0000 5.3482
Be Sn Au S
2 1 1 1
direct
0.0000 0.5000 0.0000
0.5000 0.0000 0.0000
0.0000 0.0000 0.0000
0.0000 0.0000 0.5000
0.5000 0.5000 0.5000
```